1.
A plane-wave DFT calculation with PBE was carried out for a geometry-optimized LaScTa2 structure. Values from VASP.

The value obtained for the energy above the most stable polymorph in this dataset is 174 kJ/mol of formula units. For the calculated formation energy, the calculation gives 0.659 eV/atom. The crystal system is cubic.

```
&SYSTEM
  ibrav = 0, nat = 4, ntyp = 3
/
ATOMIC_SPECIES
Sc 44.96 Sc.upf
La 138.91 La.upf
Ta 180.95 Ta.upf
ATOMIC_POSITIONS crystal
Sc 0.0000 0.0000 0.0000
La 0.5000 0.5000 0.5000
Ta 0.2500 0.2500 0.2500
Ta 0.7500 0.7500 0.7500
CELL_PARAMETERS angstrom
0.0000 3.5419 3.5419
3.5419 0.0000 3.5419
3.5419 3.5419 0.0000
```

---

2.
A plane-wave DFT calculation with PBE was carried out for a geometry-optimized PmEuRh structure. Values from VASP.

The value obtained for the energy above the most stable polymorph in this dataset is 0 kJ/mol of formula units. For the calculated formation energy, the calculation gives -0.410 eV/atom. The crystal system is cubic.

```
&SYSTEM
  ibrav = 0, nat = 3, ntyp = 3
/
ATOMIC_SPECIES
Eu 151.96 Eu.upf
Rh 102.91 Rh.upf
Pm 145.00 Pm.upf
ATOMIC_POSITIONS crystal
Eu 0.0000 0.0000 0.0000
Rh 0.2500 0.2500 0.2500
Pm 0.5000 0.5000 0.5000
CELL_PARAMETERS angstrom
-1.3359 -4.5661 -1.3299
3.3938 -3.5767 -0.3033
0.0425 -3.6530 3.3251
```

---

3.
A plane-wave DFT calculation with PBE was carried out for a geometry-optimized ZnCdIn2 structure. Values from VASP.

The value obtained for the energy above the most stable polymorph in this dataset is 8 kJ/mol of formula units. For the calculated formation energy, the calculation gives 0.078 eV/atom. The crystal system is tetragonal.

```
&SYSTEM
  ibrav = 0, nat = 4, ntyp = 3
/
ATOMIC_SPECIES
Zn 65.41 Zn.upf
Cd 112.41 Cd.upf
In 114.82 In.upf
ATOMIC_POSITIONS crystal
Zn 0.5000 0.5000 0.2500
Cd 0.5000 0.5000 0.7500
In 0.0000 0.0000 0.0177
In 0.0000 0.0000 0.4823
CELL_PARAMETERS angstrom
-1.1979 -2.4248 -1.8508
0.4653 -2.1086 2.4652
-7.9329 1.6797 2.9340
```

---

4.
A plane-wave DFT calculation with PBE was carried out for a geometry-optimized LiAlRh2 structure. Values from VASP.

For the calculated formation energy, the calculation gives -0.103 eV/atom. The crystal system is orthorhombic.

```
&SYSTEM
  ibrav = 0, nat = 4, ntyp = 3
/
ATOMIC_SPECIES
Al 26.98 Al.upf
Li 6.94 Li.upf
Rh 102.91 Rh.upf
ATOMIC_POSITIONS crystal
Al 0.0000 0.0000 0.4868
Li 0.5000 0.5000 0.7560
Rh 0.0000 0.0000 0.9973
Rh 0.5000 0.5000 0.2598
CELL_PARAMETERS angstrom
2.7095 -0.1331 0.0000
-1.0714 2.4922 0.0000
0.0000 0.0000 8.8429
```